(1)
Here is an optimized crystal structure of Re2SbMo from Alexandria. Energies are from GGA-PBE.

Cell: 3.206 4.437 9.174 Å, 90.00 90.00 90.00°
Space group Immm (No. 71)
Symmetry-distinct sites (fractional):
Re (0.000, 0.000, 0.242) [4 per cell]
Sb (0.000, 0.500, 0.500) [2 per cell]
Mo (0.000, 0.500, 0.000) [2 per cell]

Values from the calculation:
The calculation puts the uncorrected formation energy at 0.414 eV/atom. The density of states at the Fermi level is 5.45 states/eV/cell. For the electronic total energy, the calculation gives -9.55 eV/atom.

=====

(2)
Here is an optimized crystal structure of BaRePb2 from Alexandria. Energies are from GGA-PBE.

Cell: 3.469 4.530 15.184 Å, 90.00 90.00 90.00°
Space group Imm2 (No. 44)
Symmetry-distinct sites (fractional):
Ba (0.000, 0.000, 0.000) [2 per cell]
Re (0.000, 0.500, 0.701) [2 per cell]
Pb (0.000, 0.000, 0.350) [2 per cell]
Pb (0.000, 0.500, 0.183) [2 per cell]

Values from the calculation:
For the energy of formation from the pure elements, the calculation gives 541 meV per atom. The polymorph energy (0 for the lowest one) comes out at 0.124 eV/atom. The density of states at the Fermi level is 6.87 states/eV/cell. For the electronic total energy, the calculation gives -4.91 eV/atom.

=====

(3)
Here is an optimized crystal structure of Rb2TeSe4 from Alexandria. Energies are from GGA-PBE.

Cell: 8.073 4.070 8.547 Å, 90.00 108.52 90.00°
Space group P2/m (No. 10)
Symmetry-distinct sites (fractional):
Rb (0.193, 0.000, 0.285) [2 per cell]
Te (0.500, 0.500, 0.000) [1 per cell]
Se (0.250, 0.000, 0.906) [2 per cell]
Se (0.429, 0.500, 0.601) [2 per cell]

Values from the calculation:
The calculation puts the uncorrected formation energy at -0.476 eV/atom. The density of states at the Fermi level is 2.94 states/eV/cell. For the electronic total energy, the calculation gives -3.19 eV/atom.